Record 1
TeF, relaxed, DFT PBE; density = 3.22 g/cm3; offset from the most stable computed form = 125 meV per atom; calculated volume = 605.7 Å³/cell; formation energy (no corrections) = -0.997 eV per atom
1.0
-5.875 -4.624 3.961
5.680 -2.178 5.881
-2.194 6.742 4.617
F Te
8 8
direct
0.267 0.267 0.733
0.767 0.233 0.767
0.733 0.733 0.733
0.267 0.733 0.267
0.733 0.267 0.267
0.233 0.767 0.767
0.233 0.233 0.233
0.767 0.767 0.233
0.879 0.879 0.879
0.879 0.121 0.121
0.121 0.121 0.879
0.621 0.379 0.621
0.379 0.379 0.379
0.379 0.621 0.621
0.121 0.879 0.121
0.621 0.621 0.379


Record 2
Te4F, relaxed, DFT PBE; density = 6.73 g/cm3; calculated volume = 130.6 Å³/cell; formation energy (no corrections) = 0.212 eV per atom
1.0
-0.105 5.068 -0.203
-3.540 -0.218 -3.628
-3.633 0.067 3.541
Te F
4 1
direct
0.000 0.000 0.000
0.500 0.500 0.000
0.000 0.500 0.500
0.500 0.000 0.500
0.500 0.500 0.500


Record 3
TeF, relaxed, DFT PBE; density = 3.82 g/cm3; offset from the most stable computed form = 1004 meV per atom; calculated volume = 382.3 Å³/cell; formation energy (no corrections) = -0.117 eV per atom
1.0
-6.512 -1.488 -2.840
3.115 -1.416 -6.401
0.758 -6.961 1.909
Te F
6 6
direct
0.500 0.250 0.000
0.250 0.000 0.500
0.750 0.000 0.500
0.000 0.500 0.750
0.000 0.500 0.250
0.500 0.750 0.000
0.250 0.500 0.000
0.000 0.750 0.500
0.000 0.250 0.500
0.500 0.000 0.250
0.750 0.500 0.000
0.500 0.000 0.750